{"formula": "ZnCoTeN2", "functional": "PBE", "state": "relaxed", "lattice_angstrom": [[-0.574, -3.229, 1.729], [3.299, -1.216, -1.177], [2.354, 2.004, 4.525]], "species": ["Zn", "Te", "Co", "N", "N"], "fractional_positions": [[0.500, 0.500, 0.500], [0.000, 0.000, 0.500], [0.000, 0.000, 0.000], [0.000, 0.500, 0.000], [0.500, 0.000, 0.000]], "e_form_raw_ev_per_atom": 0.9825, "magnetic_moment_mub_per_cell": 0.767, "e_above_lowest_polymorph_kj_per_mol_atoms": 0.0, "volume_a3_per_fu": 75.3}